# 1
Compound: TlAgPCl2
Source: Alexandria
Functional: GGA-PBE
Structure: optimized geometry

Summary:
VASP energy ... -0.106 Ha/atom
Formation energy from raw total energies ... -0.05 eV per formula unit
Energy relative to the lowest polymorph listed for this composition ... 0.000 eV per atom
D(E_F) ... 1.939 states/eV/f.u.

extended XYZ file:
```
5
Lattice="5.362 0.000 0.000 0.000 5.362 0.000 0.000 0.000 4.871" Properties=species:S:1:pos:R:3 pbc="T T T"
P 0.000 0.000 2.436
Tl 2.681 2.681 2.436
Ag 0.000 0.000 0.000
Cl 0.000 2.681 0.000
Cl 2.681 0.000 0.000
```


# 2
Compound: YAgP2Cl
Source: Alexandria
Functional: GGA-PBE
Structure: optimized geometry

Summary:
VASP energy ... -0.147 Ha/atom
Formation energy from raw total energies ... 2.05 eV per formula unit
Energy relative to the lowest polymorph listed for this composition ... 0.366 eV per atom
D(E_F) ... 1.531 states/eV/f.u.

extended XYZ file:
```
5
Lattice="4.831 0.000 0.000 0.000 4.721 0.000 0.000 0.000 4.831" Properties=species:S:1:pos:R:3 pbc="T T T"
Y 2.416 2.361 2.416
P 0.000 0.000 2.416
P 2.416 0.000 0.000
Ag 0.000 2.361 0.000
Cl 0.000 0.000 0.000
```